1.
RbNaSe2O6: optimized geometry, GGA-PBE.

It has space group C2/c (No. 15), with a = 10.742 Å, b = 10.551 Å, c = 6.669 Å, α = 90.00°, β = 108.15° and γ = 90.00°. The asymmetric unit holds Rb at (0.000, 0.198, 0.250), Na at (0.000, 0.403, 0.750), Se at (0.216, 0.085, 0.787), O at (0.120, 0.421, 0.129), O at (0.159, 0.015, 0.067) and O at (0.166, 0.234, 0.714).

The total energy is -198.5 eV for the cell shown. The density of states at the Fermi level is 12.845 states/eV/cell. The calculation puts the formation energy without anion corrections at -1.062 eV/atom. As for the magnetization: 0.000 μB/f.u.

2.
RbNaSe2O: optimized geometry, GGA-PBE.

It has space group P4/mmm (No. 123), with a = 5.081 Å, b = 5.081 Å, c = 7.263 Å, α = 90.00°, β = 90.00° and γ = 90.00°. The asymmetric unit holds Rb at (0.000, 0.000, 0.000), Na at (0.000, 0.000, 0.500), Se at (0.000, 0.500, 0.500) and O at (0.500, 0.500, 0.000).

The total energy is -13.0 eV for the cell shown. The density of states at the Fermi level is 9.668 states/eV/cell. The calculation puts the formation energy without anion corrections at 0.252 eV/atom. As for the magnetization: 1.928 μB/f.u.

3.
Rb2NaSeO4: optimized geometry, GGA-PBE.

It has space group Fddd (No. 70, origin choice 2), with a = 5.615 Å, b = 12.271 Å, c = 21.816 Å, α = 90.00°, β = 90.00° and γ = 90.00°. The asymmetric unit holds Rb at (0.125, 0.125, 0.306), Na at (0.125, 0.125, 0.125), Se at (0.125, 0.125, 0.625) and O at (0.067, 0.286, 0.832).

The total energy is -283.7 eV for the cell shown. The density of states at the Fermi level is 22.670 states/eV/cell. The calculation puts the formation energy without anion corrections at -1.111 eV/atom. As for the magnetization: 0.644 μB/f.u.

4.
RbNa3Se4O12: optimized geometry, GGA-PBE.

It has space group R32 (No. 155, hexagonal axes), with a = 12.0080 Å, b = 12.0080 Å, c = 9.0179 Å, α = 90.00°, β = 90.00° and γ = 120.00°. The asymmetric unit holds Rb at (0.0000, 0.0000, 0.0000), Na at (0.0000, 0.5520, 0.0000), Se at (0.0000, 0.0000, 0.5000), Se at (0.0000, 0.4507, 0.5000), O at (0.0000, 0.5934, 0.5000), O at (0.0000, 0.8573, 0.5000) and O at (0.0237, 0.2129, 0.1872).

The total energy is -282.0 eV for the cell shown. The density of states at the Fermi level is 16.516 states/eV/cell. The calculation puts the formation energy without anion corrections at -0.782 eV/atom. As for the magnetization: 3.418 μB/f.u.

5.
Rb5NaSeO2: optimized geometry, GGA-PBE.

It has space group P4/mmm (No. 123), with a = 5.538 Å, b = 5.538 Å, c = 10.305 Å, α = 90.00°, β = 90.00° and γ = 90.00°. The asymmetric unit holds Rb at (0.000, 0.000, 0.000), Rb at (0.000, 0.500, 0.232), Na at (0.000, 0.000, 0.500), Se at (0.500, 0.500, 0.000) and O at (0.000, 0.000, 0.287).

The total energy is -28.5 eV for the cell shown. The calculation puts the formation energy without anion corrections at -0.993 eV/atom. As for the magnetization: 0.047 μB/f.u.

6.
RbNa2Se2O6: optimized geometry, GGA-PBE.

It has space group P-1 (No. 2), with a = 6.286 Å, b = 6.522 Å, c = 6.885 Å, α = 116.87°, β = 116.77° and γ = 90.09°. The asymmetric unit holds Rb at (0.000, 0.000, 0.000), Na at (0.348, 0.207, 0.697), Se at (0.293, 0.665, 0.587), O at (0.084, 0.832, 0.593), O at (0.426, 0.658, 0.861) and O at (0.488, 0.170, 0.405).

The total energy is -53.9 eV for the cell shown. The density of states at the Fermi level is 2.496 states/eV/cell. The calculation puts the formation energy without anion corrections at -1.235 eV/atom. As for the magnetization: 1.063 μB/f.u.

7.
RbNaSeO4: optimized geometry, GGA-PBE.

It has space group P2_1/m (No. 11), with a = 5.951 Å, b = 6.154 Å, c = 7.440 Å, α = 90.00°, β = 107.17° and γ = 90.00°. The asymmetric unit holds Rb at (0.203, 0.250, 0.436), Na at (0.299, 0.250, 0.970), Se at (0.250, 0.750, 0.166), O at (0.074, 0.750, 0.945), O at (0.083, 0.750, 0.313) and O at (0.430, 0.533, 0.204).

The total energy is -70.2 eV for the cell shown. The density of states at the Fermi level is 0.000 states/eV/cell. The calculation puts the formation energy without anion corrections at -1.358 eV/atom. As for the magnetization: 0.108 μB/f.u.

8.
Rb2NaSe2O6: optimized geometry, GGA-PBE.

It has space group R-3m (No. 166, hexagonal axes), with a = 6.2335 Å, b = 6.2335 Å, c = 22.0010 Å, α = 90.00°, β = 90.00° and γ = 120.00°. The asymmetric unit holds Rb at (0.0000, 0.0000, 0.2308), Na at (0.0000, 0.0000, 0.5000), Se at (0.0000, 0.0000, 0.0738) and O at (0.0406, 0.5203, 0.7693).

The total energy is -161.0 eV for the cell shown. The density of states at the Fermi level is 9.703 states/eV/cell. The calculation puts the formation energy without anion corrections at -1.245 eV/atom. As for the magnetization: 0.734 μB/f.u.

9.
RbNa2SiO4: optimized geometry, GGA-PBE.

It has space group I-42m (No. 121), with a = 5.726 Å, b = 5.726 Å, c = 7.801 Å, α = 90.00°, β = 90.00° and γ = 90.00°. The asymmetric unit holds Rb at (0.000, 0.000, 0.000), Na at (0.000, 0.500, 0.250), Si at (0.000, 0.000, 0.500) and O at (0.165, 0.165, 0.624).

The total energy is -89.0 eV for the cell shown. The density of states at the Fermi level is 15.123 states/eV/cell. The calculation puts the formation energy without anion corrections at -1.955 eV/atom. As for the magnetization: 1.010 μB/f.u.

10.
RbNaSi2O5: optimized geometry, GGA-PBE.

It has space group P2_1/c (No. 14), with a = 4.938 Å, b = 13.573 Å, c = 8.185 Å, α = 90.00°, β = 90.95° and γ = 90.00°. The asymmetric unit holds Rb at (0.224, 0.191, 0.286), Na at (0.268, 0.590, 0.951), Si at (0.207, 0.043, 0.793), Si at (0.289, 0.633, 0.528), O at (0.114, 0.572, 0.669), O at (0.222, 0.746, 0.510), O at (0.247, 0.573, 0.351), O at (0.264, 0.058, 0.604) and O at (0.388, 0.115, 0.918).

The total energy is -242.5 eV for the cell shown. The density of states at the Fermi level is 0.000 states/eV/cell. The calculation puts the formation energy without anion corrections at -2.521 eV/atom. As for the magnetization: 0.002 μB/f.u.

11.
Rb2NaSiO4: optimized geometry, GGA-PBE.

It has space group Fddd (No. 70, origin choice 2), with a = 5.406 Å, b = 11.735 Å, c = 21.753 Å, α = 90.00°, β = 90.00° and γ = 90.00°. The asymmetric unit holds Rb at (0.125, 0.125, 0.304), Na at (0.125, 0.125, 0.125), Si at (0.125, 0.125, 0.625) and O at (0.050, 0.290, 0.833).

The total energy is -342.5 eV for the cell shown. The density of states at the Fermi level is 63.403 states/eV/cell. The calculation puts the formation energy without anion corrections at -1.788 eV/atom. As for the magnetization: 1.012 μB/f.u.

12.
Rb2NaSn3O8: optimized geometry, GGA-PBE.

It has space group R3m (No. 160, hexagonal axes), with a = 6.5136 Å, b = 6.5136 Å, c = 20.8096 Å, α = 90.00°, β = 90.00° and γ = 120.00°. The asymmetric unit holds Rb at (0.0000, 0.0000, 0.0000), Rb at (0.0000, 0.0000, 0.3534), Na at (0.0000, 0.0000, 0.8373), Sn at (0.1670, 0.3339, 0.1892), O at (0.0000, 0.0000, 0.1350), O at (0.0000, 0.0000, 0.5762), O at (0.0418, 0.5209, 0.1339) and O at (0.1771, 0.3543, 0.9050).

The total energy is -228.3 eV for the cell shown. The density of states at the Fermi level is 18.760 states/eV/cell. The calculation puts the formation energy without anion corrections at -1.513 eV/atom. As for the magnetization: 1.064 μB/f.u.

13.
RbNaSnO3: optimized geometry, GGA-PBE.

It has space group Cmcm (No. 63), with a = 6.068 Å, b = 11.721 Å, c = 5.830 Å, α = 90.00°, β = 90.00° and γ = 90.00°. The asymmetric unit holds Rb at (0.000, 0.236, 0.250), Na at (0.000, 0.079, 0.750), Sn at (0.000, 0.444, 0.750), O at (0.000, 0.276, 0.750) and O at (0.223, 0.500, 0.000).

The total energy is -123.7 eV for the cell shown. The density of states at the Fermi level is 0.000 states/eV/cell. The calculation puts the formation energy without anion corrections at -1.627 eV/atom. As for the magnetization: 0.000 μB/f.u.

14.
Rb2NaTaO4: optimized geometry, GGA-PBE.

It has space group I-42m (No. 121), with a = 7.090 Å, b = 7.090 Å, c = 6.345 Å, α = 90.00°, β = 90.00° and γ = 90.00°. The asymmetric unit holds Rb at (0.000, 0.500, 0.000), Na at (0.000, 0.000, 0.000), Ta at (0.000, 0.000, 0.500) and O at (0.148, 0.148, 0.318).

The total energy is -103.8 eV for the cell shown. The density of states at the Fermi level is 0.000 states/eV/cell. The calculation puts the formation energy without anion corrections at -2.122 eV/atom. As for the magnetization: 0.120 μB/f.u.

15.
Rb3NaTc2O8: optimized geometry, GGA-PBE.

It has space group P-3m1 (No. 164), with a = 6.2266 Å, b = 6.2266 Å, c = 8.0493 Å, α = 90.00°, β = 90.00° and γ = 120.00°. The asymmetric unit holds Rb at (0.0000, 0.0000, 0.0000), Rb at (0.3333, 0.6667, 0.6628), Na at (0.0000, 0.0000, 0.5000), Tc at (0.3333, 0.6667, 0.2243), O at (0.1781, 0.3562, 0.3071) and O at (0.3333, 0.6667, 0.0042).

The total energy is -87.8 eV for the cell shown. The density of states at the Fermi level is 11.206 states/eV/cell. The calculation puts the formation energy without anion corrections at -1.658 eV/atom. As for the magnetization: 2.006 μB/f.u.

16.
RbNaTc2O6: optimized geometry, GGA-PBE.

It has space group C2/c (No. 15), with a = 9.584 Å, b = 12.202 Å, c = 7.279 Å, α = 90.00°, β = 98.71° and γ = 90.00°. The asymmetric unit holds Rb at (0.000, 0.128, 0.250), Na at (0.000, 0.419, 0.750), Tc at (0.239, 0.142, 0.774), O at (0.106, 0.412, 0.099), O at (0.143, 0.059, 0.608) and O at (0.200, 0.281, 0.777).

The total energy is -262.8 eV for the cell shown. The calculation puts the formation energy without anion corrections at -1.293 eV/atom. As for the magnetization: 0.000 μB/f.u.

17.
Rb2NaTcO4: optimized geometry, GGA-PBE.

It has space group Fddd (No. 70, origin choice 2), with a = 5.885 Å, b = 12.925 Å, c = 20.275 Å, α = 90.00°, β = 90.00° and γ = 90.00°. The asymmetric unit holds Rb at (0.125, 0.125, 0.306), Na at (0.125, 0.125, 0.125), Tc at (0.125, 0.125, 0.625) and O at (0.081, 0.280, 0.844).

The total energy is -355.8 eV for the cell shown. The density of states at the Fermi level is 1.970 states/eV/cell. The calculation puts the formation energy without anion corrections at -1.378 eV/atom. As for the magnetization: 0.000 μB/f.u.

18.
Rb2Na3TcO6: optimized geometry, GGA-PBE.

It has space group C2/m (No. 12), with a = 6.337 Å, b = 11.824 Å, c = 5.710 Å, α = 90.00°, β = 112.02° and γ = 90.00°. The asymmetric unit holds Rb at (0.000, 0.175, 0.000), Na at (0.000, 0.000, 0.500), Na at (0.000, 0.374, 0.500), Tc at (0.000, 0.500, 0.000), O at (0.187, 0.385, 0.224) and O at (0.194, 0.500, 0.811).

The total energy is -126.9 eV for the cell shown. The calculation puts the formation energy without anion corrections at -1.453 eV/atom. As for the magnetization: 0.001 μB/f.u.